Compound: GaSiPtF2
Source: Alexandria
Functional: GGA-PBE
Structure: optimized geometry Values from VASP.

Structure (Quantum ESPRESSO input):
```
&SYSTEM
  ibrav = 0, nat = 5, ntyp = 4
/
ATOMIC_SPECIES
Ga 69.72 Ga.upf
Si 28.09 Si.upf
Pt 195.08 Pt.upf
F 19.00 F.upf
ATOMIC_POSITIONS angstrom
Ga 0.000 0.000 0.000
Si 1.881 1.881 2.564
Pt 1.881 1.881 0.000
F 0.000 1.881 2.564
F 1.881 0.000 2.564
CELL_PARAMETERS angstrom
3.762 0.000 0.000
0.000 3.762 0.000
0.000 0.000 5.129
```

Values from the calculation:
Size of the total moment, μB per cell: 0.00
Raw formation energy, meV per atom: -1300

***

Compound: Pu2GaF
Source: Alexandria
Functional: GGA-PBE
Structure: optimized geometry Values from VASP.

Structure (Quantum ESPRESSO input):
```
&SYSTEM
  ibrav = 0, nat = 4, ntyp = 3
/
ATOMIC_SPECIES
Pu 244.00 Pu.upf
Ga 69.72 Ga.upf
F 19.00 F.upf
ATOMIC_POSITIONS angstrom
Pu 0.000 0.000 2.858
Pu 0.000 0.000 11.671
Ga 0.000 0.000 0.000
F 0.000 0.000 7.264
CELL_PARAMETERS angstrom
2.090 1.206 4.843
-2.090 1.206 4.843
0.000 -2.413 4.843
```

Values from the calculation:
Offset from the most stable computed form, meV per atom: 767.7
Size of the total moment, μB per cell: 1.18
Raw formation energy, meV per atom: -267

***

Compound: PuGaF
Source: Alexandria
Functional: GGA-PBE
Structure: optimized geometry Values from VASP.

Structure (Quantum ESPRESSO input):
```
&SYSTEM
  ibrav = 0, nat = 6, ntyp = 3
/
ATOMIC_SPECIES
Pu 244.00 Pu.upf
Ga 69.72 Ga.upf
F 19.00 F.upf
ATOMIC_POSITIONS angstrom
Pu 0.836 0.836 1.896
Pu 2.507 2.507 7.605
Ga 0.836 0.836 5.483
Ga 2.507 2.507 4.018
F 0.836 0.836 8.829
F 2.507 2.507 0.673
CELL_PARAMETERS angstrom
3.343 0.000 0.000
0.000 3.343 0.000
0.000 0.000 9.502
```

Values from the calculation:
Size of the total moment, μB per cell: 11.88
Raw formation energy, meV per atom: -1545

***

Compound: Pu2GaF
Source: Alexandria
Functional: GGA-PBE
Structure: optimized geometry Values from VASP.

Structure (Quantum ESPRESSO input):
```
&SYSTEM
  ibrav = 0, nat = 4, ntyp = 3
/
ATOMIC_SPECIES
Pu 244.00 Pu.upf
Ga 69.72 Ga.upf
F 19.00 F.upf
ATOMIC_POSITIONS angstrom
Pu 0.000 0.000 1.965
Pu 0.000 0.000 6.394
Ga 1.534 1.534 4.179
F 1.534 1.534 0.000
CELL_PARAMETERS angstrom
3.069 0.000 0.000
0.000 3.069 0.000
0.000 0.000 8.359
```

Values from the calculation:
Offset from the most stable computed form, meV per atom: 0.0
Size of the total moment, μB per cell: 12.00
Raw formation energy, meV per atom: -1034

***

Compound: PuGaF2
Source: Alexandria
Functional: GGA-PBE
Structure: optimized geometry Values from VASP.

Structure (Quantum ESPRESSO input):
```
&SYSTEM
  ibrav = 0, nat = 4, ntyp = 3
/
ATOMIC_SPECIES
Pu 244.00 Pu.upf
Ga 69.72 Ga.upf
F 19.00 F.upf
ATOMIC_POSITIONS angstrom
Pu 0.000 0.000 0.000
Ga 0.000 0.000 12.522
F 0.000 0.000 2.194
F 0.000 0.000 22.851
CELL_PARAMETERS angstrom
1.674 0.966 8.348
-1.674 0.966 8.348
0.000 -1.933 8.348
```

Values from the calculation:
Size of the total moment, μB per cell: 5.30
Raw formation energy, meV per atom: -1681

***

Compound: PuGa2F8
Source: Alexandria
Functional: GGA-PBE
Structure: optimized geometry Values from VASP.

Structure (Quantum ESPRESSO input):
```
&SYSTEM
  ibrav = 0, nat = 11, ntyp = 3
/
ATOMIC_SPECIES
Pu 244.00 Pu.upf
Ga 69.72 Ga.upf
F 19.00 F.upf
ATOMIC_POSITIONS angstrom
Pu 0.000 0.000 0.000
Ga 3.498 0.000 1.850
Ga 6.008 0.000 3.718
F 3.664 1.669 1.012
F 1.594 0.000 1.767
F 5.842 1.669 4.556
F 3.870 0.000 3.701
F 5.636 0.000 1.866
F 3.664 -1.669 1.012
F 7.912 0.000 3.801
F 5.842 -1.669 4.556
CELL_PARAMETERS angstrom
5.004 -3.320 0.000
5.004 3.320 0.000
-0.501 0.000 5.568
```

Values from the calculation:
Offset from the most stable computed form, meV per atom: 0.0
Size of the total moment, μB per cell: 5.54
Raw formation energy, meV per atom: -2724

***

Compound: PuGa2F8
Source: Alexandria
Functional: GGA-PBE
Structure: optimized geometry Values from VASP.

Structure (Quantum ESPRESSO input):
```
&SYSTEM
  ibrav = 0, nat = 11, ntyp = 3
/
ATOMIC_SPECIES
Pu 244.00 Pu.upf
Ga 69.72 Ga.upf
F 19.00 F.upf
ATOMIC_POSITIONS angstrom
Pu 0.000 0.000 0.000
Ga 0.000 4.057 0.986
Ga 3.513 2.028 2.941
F -1.609 4.979 0.991
F 0.006 2.202 0.991
F 0.000 4.057 2.945
F 1.910 1.096 2.936
F 1.603 4.989 0.991
F 3.513 2.028 0.982
F 3.507 3.883 2.936
F 5.122 1.106 2.936
CELL_PARAMETERS angstrom
7.026 0.000 0.000
-3.513 6.085 0.000
0.000 0.000 3.927
```

Values from the calculation:
Offset from the most stable computed form, meV per atom: 10.2
Size of the total moment, μB per cell: 5.76
Raw formation energy, meV per atom: -2714

***

Compound: Rb2GaF4
Source: Alexandria
Functional: GGA-PBE
Structure: optimized geometry Values from VASP.

Structure (Quantum ESPRESSO input):
```
&SYSTEM
  ibrav = 0, nat = 7, ntyp = 3
/
ATOMIC_SPECIES
Rb 85.47 Rb.upf
Ga 69.72 Ga.upf
F 19.00 F.upf
ATOMIC_POSITIONS angstrom
Rb 2.080 2.578 0.000
Rb 2.080 2.578 4.067
Ga 4.161 5.156 2.053
F 4.161 3.123 1.965
F 5.641 5.156 3.229
F 4.161 7.189 1.965
F 2.680 5.156 3.229
CELL_PARAMETERS angstrom
0.000 5.156 4.067
4.161 0.000 4.067
4.161 5.156 0.000
```

Values from the calculation:
Offset from the most stable computed form, meV per atom: 18.5
Size of the total moment, μB per cell: 0.99
Raw formation energy, meV per atom: -2457